Computed, not measured: a relaxed structure of PmThMg4 at the PBE level of DFT.

The space group is F-43m (No. 216) and the conventional cell measures 8.5907, 8.5907 and 8.5907 Å, with angles of 90.00, 90.00 and 90.00 degrees. The asymmetric unit holds Pm at (0.0000, 0.0000, 0.0000), Th at (0.2500, 0.2500, 0.2500) and Mg at (0.1251, 0.1251, 0.6251).

The total magnetization is 0.00 μB per atom. For the uncorrected energy, the calculation gives -3.123 eV/atom. As for the density of states at the Fermi level: 1.04 states/eV per atom.



Computed, not measured: a relaxed structure of PmTh2Mg at the PBE level of DFT.

The space group is P4/mmm (No. 123) and the conventional cell measures 3.5156, 3.5156 and 10.0445 Å, with angles of 90.00, 90.00 and 90.00 degrees. The asymmetric unit holds Pm at (0.0000, 0.0000, 0.0000), Th at (0.5000, 0.5000, 0.2633) and Mg at (0.0000, 0.0000, 0.5000).

The total magnetization is 0.00 μB per atom. For the uncorrected energy, the calculation gives -5.193 eV/atom. As for the density of states at the Fermi level: 1.39 states/eV per atom.



Computed, not measured: a relaxed structure of Pm2Th3Mg2 at the PBE level of DFT.

The space group is Cmmm (No. 65) and the conventional cell measures 3.5150, 35.1626 and 3.5158 Å, with angles of 90.00, 90.00 and 90.00 degrees. The asymmetric unit holds Pm at (0.0000, 0.2058, 0.0000), Th at (0.0000, 0.0729, 0.0000), Th at (0.0000, 0.5000, 0.5000) and Mg at (0.0000, 0.3597, 0.5000).

The total magnetization is 0.00 μB per atom. For the uncorrected energy, the calculation gives -4.906 eV/atom. As for the density of states at the Fermi level: 1.35 states/eV per atom.



Computed, not measured: a relaxed structure of PmTh2Mg at the PBE level of DFT.

The space group is R3m (No. 160, hexagonal axes) and the conventional cell measures 3.4619, 3.4619 and 35.8088 Å, with angles of 90.00, 90.00 and 120.00 degrees. The asymmetric unit holds Pm at (0.0000, 0.0000, 0.0000), Th at (0.0000, 0.0000, 0.4197), Th at (0.0000, 0.0000, 0.5816) and Mg at (0.0000, 0.0000, 0.8341).

The total magnetization is 0.00 μB per atom. For the uncorrected energy, the calculation gives -5.187 eV/atom. As for the density of states at the Fermi level: 1.23 states/eV per atom.



Computed, not measured: a relaxed structure of Pm2ThMg at the PBE level of DFT.

The space group is Fm-3m (No. 225) and the conventional cell measures 7.9348, 7.9348 and 7.9348 Å, with angles of 90.00, 90.00 and 90.00 degrees. The asymmetric unit holds Pm at (0.2500, 0.2500, 0.2500), Th at (0.0000, 0.0000, 0.0000) and Mg at (0.0000, 0.0000, 0.5000).

The total magnetization is 0.00 μB per atom. For the uncorrected energy, the calculation gives -4.485 eV/atom. As for the density of states at the Fermi level: 1.60 states/eV per atom.



Computed, not measured: a relaxed structure of Pm2ThMg at the PBE level of DFT.

The space group is P4/mmm (No. 123) and the conventional cell measures 3.6384, 3.6384 and 9.3734 Å, with angles of 90.00, 90.00 and 90.00 degrees. The asymmetric unit holds Pm at (0.0000, 0.0000, 0.2413), Th at (0.5000, 0.5000, 0.5000) and Mg at (0.5000, 0.5000, 0.0000).

The total magnetization is 0.00 μB per atom. For the uncorrected energy, the calculation gives -4.679 eV/atom. As for the density of states at the Fermi level: 0.89 states/eV per atom.



Computed, not measured: a relaxed structure of Pm2ThMg at the PBE level of DFT.

The space group is R-3m (No. 166, hexagonal axes) and the conventional cell measures 3.5332, 3.5332 and 37.0976 Å, with angles of 90.00, 90.00 and 120.00 degrees. The asymmetric unit holds Pm at (0.0000, 0.0000, 0.0898), Th at (0.0000, 0.0000, 0.5000) and Mg at (0.0000, 0.0000, 0.0000).

The total magnetization is 0.00 μB per atom. For the uncorrected energy, the calculation gives -4.440 eV/atom. As for the density of states at the Fermi level: 1.08 states/eV per atom.



Computed, not measured: a relaxed structure of PmThMg17 at the PBE level of DFT.

The space group is R3m (No. 160, hexagonal axes) and the conventional cell measures 10.2367, 10.2367 and 15.1975 Å, with angles of 90.00, 90.00 and 120.00 degrees. The asymmetric unit holds Pm at (0.0000, 0.0000, 0.0000), Th at (0.0000, 0.0000, 0.6594), Mg at (0.0000, 0.0000, 0.2309), Mg at (0.0000, 0.0000, 0.4287), Mg at (0.0001, 0.3025, 0.3303), Mg at (0.0066, 0.5033, 0.4809), Mg at (0.1690, 0.3380, 0.1648) and Mg at (0.1724, 0.3447, 0.5115).

The total magnetization is 0.00 μB per atom. For the uncorrected energy, the calculation gives -2.085 eV/atom. As for the density of states at the Fermi level: 0.46 states/eV per atom.



Computed, not measured: a relaxed structure of Pm8Th2Mg at the PBE level of DFT.

The space group is Amm2 (No. 38) and the conventional cell measures 5.6123, 13.3026 and 10.2547 Å, with angles of 90.00, 90.00 and 90.00 degrees. The asymmetric unit holds Pm at (0.0000, 0.0000, 0.0000), Pm at (0.0000, 0.0000, 0.3323), Pm at (0.0000, 0.2467, 0.1669), Pm at (0.5000, 0.1352, 0.5035), Pm at (0.5000, 0.1348, 0.8287), Th at (0.5000, 0.1213, 0.1663) and Mg at (0.0000, 0.0000, 0.6660).

The total magnetization is 0.00 μB per atom. For the uncorrected energy, the calculation gives -4.777 eV/atom. As for the density of states at the Fermi level: 1.62 states/eV per atom.



Computed, not measured: a relaxed structure of PmTh2Mg at the PBE level of DFT.

The space group is R-3m (No. 166, hexagonal axes) and the conventional cell measures 3.3841, 3.3841 and 37.8110 Å, with angles of 90.00, 90.00 and 120.00 degrees. The asymmetric unit holds Pm at (0.0000, 0.0000, 0.0000), Th at (0.0000, 0.0000, 0.0899) and Mg at (0.0000, 0.0000, 0.5000).

The total magnetization is 0.00 μB per atom. For the uncorrected energy, the calculation gives -5.056 eV/atom. As for the density of states at the Fermi level: 1.04 states/eV per atom.



Computed, not measured: a relaxed structure of Pm2ThMg at the PBE level of DFT.

The space group is P4/mmm (No. 123) and the conventional cell measures 4.9849, 4.9849 and 4.9860 Å, with angles of 90.00, 90.00 and 90.00 degrees. The asymmetric unit holds Pm at (0.0000, 0.5000, 0.0000), Th at (0.0000, 0.0000, 0.5000) and Mg at (0.5000, 0.5000, 0.5000).

The total magnetization is 0.00 μB per atom. For the uncorrected energy, the calculation gives -4.582 eV/atom. As for the density of states at the Fermi level: 1.55 states/eV per atom.



Computed, not measured: a relaxed structure of Pm2ThMg at the PBE level of DFT.

The space group is Cm (No. 8) and the conventional cell measures 6.2060, 3.5790 and 11.6202 Å, with angles of 90.00, 100.35 and 90.00 degrees. The asymmetric unit holds Pm at (0.0000, 0.0000, 0.0000), Pm at (0.1675, 0.0000, 0.5008), Th at (0.0836, 0.5000, 0.7497) and Mg at (0.2508, 0.5000, 0.2506).

The total magnetization is 0.00 μB per atom. For the uncorrected energy, the calculation gives -4.601 eV/atom. As for the density of states at the Fermi level: 1.18 states/eV per atom.



What is the total magnetization in the twelfth record?
0.00 μB per atom



Which value of total magnetization does entry 1 give?
0.00 μB per atom



Which formula does entry 4 have?
PmTh2Mg